AlCdInO4 | PBE | relaxed

Offset from the most stable computed form in meV/atom: 105
SG: P4_122 (91)

Structure (POSCAR):
```
AlCdInO4
1.0
6.2094 0.0000 0.0000
0.0000 6.2094 0.0000
0.0000 0.0000 8.7468
Al Cd In O
4 4 4 16
Cartesian
1.4820 1.4820 3.2801
1.4820 4.7274 1.0934
4.7274 1.4820 5.4668
4.7274 4.7274 7.6535
1.6514 3.1047 6.5601
3.1047 1.6514 0.0000
3.1047 4.5580 4.3734
4.5580 3.1047 2.1867
0.0000 1.6285 0.0000
0.0000 4.5809 4.3734
1.6285 0.0000 6.5601
4.5809 0.0000 2.1867
0.0204 1.4736 2.1852
0.0204 4.7358 2.1882
1.4617 2.9878 4.2564
1.4617 3.2216 0.1170
1.4736 0.0204 4.3749
1.4736 6.1890 8.7453
2.9878 1.4617 2.3037
2.9878 4.7477 2.0697
3.2216 1.4617 6.4431
3.2216 4.7477 6.6771
4.7358 0.0204 4.3719
4.7358 6.1890 0.0015
4.7477 2.9878 4.4904
4.7477 3.2216 8.6298
6.1890 1.4736 6.5616
6.1890 4.7358 6.5586
```